[1]
# CaPrHo

A relaxed CaPrHo crystal (PBE-GGA, Alexandria).

Values from the calculation:
Density: 5.315 g cm⁻³
Formation energy from the elements: 0.168 eV/atom
Size of the total moment: 0.000 μB/atom
Space-group type: No. 12
Distance to the lowest polymorph of the same formula: 136 meV/atom

a = 6.422 Å, b = 6.422 Å, c = 9.938 Å
α = 94.56°, β = 94.56°, γ = 31.95°
Fractional positions:
Pr: 0.017 0.017 0.059
Ho: 0.525 0.525 0.743
Ho: 0.228 0.228 0.564
Pr: 0.736 0.736 0.249
Ca: 0.485 0.485 0.392
Ca: 0.269 0.269 0.915


[2]
# HoTh2Sn2

A relaxed HoTh2Sn2 crystal (PBE-GGA, Alexandria).

Values from the calculation:
Density: 9.601 g cm⁻³
Formation energy from the elements: -0.572 eV/atom
Size of the total moment: 0.000 μB/atom
Space-group type: No. 127

a = 4.453 Å, b = 8.204 Å, c = 8.204 Å
α = 90.00°, β = 90.00°, γ = 90.00°
Fractional positions:
Sn: 0.000 0.866 0.634
Ho: 0.000 0.500 0.500
Ho: 0.000 0.000 0.000
Sn: 0.000 0.366 0.866
Th: 0.500 0.669 0.831
Sn: 0.000 0.634 0.134
Sn: 0.000 0.134 0.366
Th: 0.500 0.331 0.169
Th: 0.500 0.831 0.331
Th: 0.500 0.169 0.669


[3]
# Pr2NdY3Bi6

A relaxed Pr2NdY3Bi6 crystal (PBE-GGA, Alexandria).

Values from the calculation:
Density: 8.046 g cm⁻³
Formation energy from the elements: -0.924 eV/atom
Size of the total moment: 0.000 μB/atom
Space-group type: No. 12

a = 7.902 Å, b = 7.902 Å, c = 7.881 Å
α = 99.61°, β = 99.61°, γ = 120.00°
Fractional positions:
Bi: 0.246 0.246 0.740
Y: 0.167 0.833 0.500
Bi: 0.914 0.581 0.741
Bi: 0.086 0.419 0.259
Pr: 0.334 0.666 0.000
Y: 0.500 0.500 0.500
Pr: 0.666 0.334 0.000
Y: 0.833 0.167 0.500
Bi: 0.754 0.754 0.260
Nd: 0.000 0.000 0.000
Bi: 0.581 0.914 0.741
Bi: 0.419 0.086 0.259


[4]
# Y4ZrCo

A relaxed Y4ZrCo crystal (PBE-GGA, Alexandria).

Values from the calculation:
Density: 5.008 g cm⁻³
Formation energy from the elements: 0.838 eV/atom
Size of the total moment: 0.217 μB/atom
Space-group type: No. 216

a = 6.190 Å, b = 6.190 Å, c = 6.190 Å
α = 60.00°, β = 60.00°, γ = 60.00°
Each line ends with the local moment (μB).
Fractional positions:
Y: 0.873 0.376 0.376  -0.03
Co: 0.000 0.000 0.000  1.89
Y: 0.376 0.873 0.376  -0.03
Zr: 0.750 0.750 0.750  -0.09
Y: 0.376 0.376 0.376  -0.03
Y: 0.376 0.376 0.873  -0.03


[5]
# Na3Th3PdSe8

A relaxed Na3Th3PdSe8 crystal (PBE-GGA, Alexandria).

Values from the calculation:
Density: 5.804 g cm⁻³
Raw formation energy: -1325 meV/atom
Size of the total moment: 0.001 μB/atom
Space-group type: No. 12

a = 8.524 Å, b = 8.364 Å, c = 8.495 Å
α = 119.07°, β = 90.00°, γ = 120.63°
Fractional positions:
Se: 0.749 0.498 0.744
Se: 0.270 0.018 0.267
Th: 0.500 0.500 0.500
Th: 0.000 0.500 0.500
Na: 0.000 0.500 0.000
Se: 0.730 0.982 0.733
Na: 0.000 0.000 0.000
Se: 0.251 0.502 0.256
Th: 0.500 0.000 0.500
Se: 0.778 0.555 0.292
Se: 0.222 0.445 0.708
Pd: 0.000 0.000 0.500
Se: 0.748 0.018 0.267
Na: 0.500 0.500 0.000
Se: 0.252 0.982 0.733


[6]
# Na3Zn

A relaxed Na3Zn crystal (PBE-GGA, Alexandria).

Values from the calculation:
Density: 1.905 g cm⁻³
Formation energy from the elements: 0.079 eV/atom
Size of the total moment: 0.000 μB/atom
Space-group type: No. 44

a = 3.855 Å, b = 5.471 Å, c = 6.485 Å
α = 114.95°, β = 107.29°, γ = 90.00°
Fractional positions:
Na: 0.280 0.696 0.560
Na: 0.720 0.135 0.440
Zn: 0.000 0.918 0.000
Na: 0.500 0.417 0.000


[7]
# Be4Os

A relaxed Be4Os crystal (PBE-GGA, Alexandria).

Values from the calculation:
Density: 8.107 g cm⁻³
Formation energy from the elements: 0.045 eV/atom
Size of the total moment: 0.000 μB/atom
Space-group type: No. 139
Distance to the lowest polymorph of the same formula: 280 meV/atom

a = 5.477 Å, b = 5.477 Å, c = 5.477 Å
α = 147.86°, β = 147.86°, γ = 46.10°
Fractional positions:
Os: 0.000 0.000 0.000
Be: 0.750 0.250 0.500
Be: 0.401 0.401 0.000
Be: 0.599 0.599 0.000
Be: 0.250 0.750 0.500


[8]
# Ac2BiS5

A relaxed Ac2BiS5 crystal (PBE-GGA, Alexandria).

Values from the calculation:
Density: 6.737 g cm⁻³
Raw formation energy: -1458 meV/atom
Size of the total moment: 0.000 μB/atom
Space-group type: No. 55
Distance to the lowest polymorph of the same formula: 0 meV/atom

a = 4.294 Å, b = 7.951 Å, c = 11.887 Å
α = 90.00°, β = 90.00°, γ = 90.00°
Fractional positions:
Ac: 0.500 0.925 0.670
S: 0.500 0.296 0.566
S: 0.000 0.000 0.500
S: 0.500 0.704 0.434
S: 0.000 0.648 0.711
Ac: 0.500 0.575 0.170
S: 0.000 0.148 0.789
Bi: 0.000 0.000 0.000
Bi: 0.000 0.500 0.500
S: 0.000 0.500 0.000
S: 0.000 0.852 0.211
S: 0.500 0.204 0.066
Ac: 0.500 0.425 0.830
S: 0.000 0.352 0.289
S: 0.500 0.796 0.934
Ac: 0.500 0.075 0.330